Material: Nd3CoBr
Method: DFT, GGA-PBE
State: relaxed

a = 3.787 Å, b = 9.694 Å, c = 8.203 Å
α = 90.00°, β = 90.00°, γ = 90.00°
Space group Pmmn (No. 59, origin choice 2)
Inequivalent atoms, fractional coordinates:
1 Nd 0.250 0.077 0.164 (multiplicity 4)
2 Nd 0.250 0.250 0.761 (multiplicity 2)
3 Co 0.250 0.750 0.009 (multiplicity 2)
4 Br 0.250 0.750 0.560 (multiplicity 2)

- distance to the lowest polymorph of the same formula (meV/atom) = 51.5
- uncorrected formation energy (eV per formula unit) = -2.193

Material: Zn3Hg2
Method: DFT, GGA-PBE
State: relaxed

a = 4.5231 Å, b = 4.5231 Å, c = 5.8701 Å
α = 90.00°, β = 90.00°, γ = 120.00°
Space group P-3m1 (No. 164)
Inequivalent atoms, fractional coordinates:
1 Zn 0.0000 0.0000 0.0000 (multiplicity 1)
2 Zn 0.3333 0.6667 0.3354 (multiplicity 2)
3 Hg 0.3333 0.6667 0.8005 (multiplicity 2)

- distance to the lowest polymorph of the same formula (meV/atom) = 48.1
- ΔE_f (meV/atom) = 167

Material: KTi2Cl6
Method: DFT, GGA-PBE
State: relaxed

a = 6.1821 Å, b = 6.1821 Å, c = 7.5116 Å
α = 90.00°, β = 90.00°, γ = 120.00°
Space group P-31m (No. 162)
Inequivalent atoms, fractional coordinates:
1 K 0.0000 0.0000 0.0000 (multiplicity 1)
2 Ti 0.3333 0.6667 0.5000 (multiplicity 2)
3 Cl 0.0000 0.3473 0.3086 (multiplicity 6)

- distance to the lowest polymorph of the same formula (meV/atom) = 0.0
- uncorrected formation energy (eV per formula unit) = -14.841

Material: CsMg2Tl
Method: DFT, GGA-PBE
State: relaxed

a = 8.113 Å, b = 8.113 Å, c = 8.113 Å
α = 90.00°, β = 90.00°, γ = 90.00°
Space group Fm-3m (No. 225)
Inequivalent atoms, fractional coordinates:
1 Cs 0.000 0.000 0.000 (multiplicity 4)
2 Mg 0.250 0.250 0.250 (multiplicity 8)
3 Tl 0.000 0.000 0.500 (multiplicity 4)

- ΔE_f (meV/atom) = 237

Material: YTi3Se
Method: DFT, GGA-PBE
State: relaxed

a = 4.793 Å, b = 4.793 Å, c = 4.793 Å
α = 90.00°, β = 90.00°, γ = 90.00°
Space group Pm-3m (No. 221)
Inequivalent atoms, fractional coordinates:
1 Y 0.000 0.000 0.000 (multiplicity 1)
2 Ti 0.000 0.500 0.500 (multiplicity 3)
3 Se 0.500 0.500 0.500 (multiplicity 1)

- distance to the lowest polymorph of the same formula (meV/atom) = 0.0
- uncorrected formation energy (eV per formula unit) = -0.596

Material: MgInGe2B
Method: DFT, GGA-PBE
State: relaxed

a = 5.217 Å, b = 5.217 Å, c = 5.311 Å
α = 90.00°, β = 90.00°, γ = 90.00°
Space group P4/mmm (No. 123)
Inequivalent atoms, fractional coordinates:
1 Mg 0.000 0.000 0.000 (multiplicity 1)
2 In 0.000 0.000 0.500 (multiplicity 1)
3 Ge 0.000 0.500 0.500 (multiplicity 2)
4 B 0.500 0.500 0.000 (multiplicity 1)

- ΔE_f (meV/atom) = 1601

Material: Tl2ReSi
Method: DFT, GGA-PBE
State: relaxed

a = 16.315 Å, b = 2.942 Å, c = 4.007 Å
α = 90.00°, β = 104.10°, γ = 90.00°
Space group C2/m (No. 12)
Inequivalent atoms, fractional coordinates:
1 Tl 0.172 0.000 0.172 (multiplicity 4)
2 Re 0.000 0.500 0.000 (multiplicity 2)
3 Si 0.000 0.000 0.500 (multiplicity 2)

- distance to the lowest polymorph of the same formula (meV/atom) = 15.0
- uncorrected formation energy (eV per formula unit) = 1.473

Material: Fe2Pt7Au
Method: DFT, GGA-PBE
State: relaxed

a = 7.118 Å, b = 12.786 Å, c = 4.199 Å
α = 90.00°, β = 90.00°, γ = 90.00°
Space group Cmmm (No. 65)
Inequivalent atoms, fractional coordinates:
1 Fe 0.000 0.198 0.000 (multiplicity 4)
2 Pt 0.000 0.000 0.000 (multiplicity 2)
3 Pt 0.000 0.293 0.500 (multiplicity 4)
4 Pt 0.190 0.387 0.000 (multiplicity 8)
5 Au 0.000 0.500 0.500 (multiplicity 2)

- ΔE_f (meV/atom) = 430

Material: BaBSb2H
Method: DFT, GGA-PBE
State: relaxed

a = 4.634 Å, b = 4.634 Å, c = 6.061 Å
α = 90.00°, β = 90.00°, γ = 90.00°
Space group P4/mmm (No. 123)
Inequivalent atoms, fractional coordinates:
1 Ba 0.000 0.000 0.000 (multiplicity 1)
2 B 0.500 0.500 0.500 (multiplicity 1)
3 Sb 0.000 0.500 0.500 (multiplicity 2)
4 H 0.500 0.500 0.000 (multiplicity 1)

- raw total energy (eV/f.u.) = -18.103

Material: TlZn2FeRe
Method: DFT, GGA-PBE
State: relaxed

a = 4.843 Å, b = 4.843 Å, c = 5.023 Å
α = 90.00°, β = 90.00°, γ = 90.00°
Space group P4/mmm (No. 123)
Inequivalent atoms, fractional coordinates:
1 Tl 0.000 0.000 0.000 (multiplicity 1)
2 Zn 0.000 0.500 0.000 (multiplicity 2)
3 Fe 0.000 0.000 0.500 (multiplicity 1)
4 Re 0.500 0.500 0.500 (multiplicity 1)

- distance to the lowest polymorph of the same formula (meV/atom) = 594.9
- ΔE_f (meV/atom) = 1978

Material: CsPO2F
Method: DFT, GGA-PBE
State: relaxed

a = 4.230 Å, b = 4.230 Å, c = 7.833 Å
α = 90.00°, β = 90.00°, γ = 90.00°
Space group P4/mmm (No. 123)
Inequivalent atoms, fractional coordinates:
1 Cs 0.000 0.000 0.000 (multiplicity 1)
2 P 0.000 0.000 0.500 (multiplicity 1)
3 O 0.000 0.500 0.000 (multiplicity 2)
4 F 0.500 0.500 0.500 (multiplicity 1)

- uncorrected formation energy (eV per formula unit) = 4.449

Material: KAs2Ru
Method: DFT, GGA-PBE
State: relaxed

a = 7.571 Å, b = 3.619 Å, c = 7.410 Å
α = 90.00°, β = 112.11°, γ = 90.00°
Space group Cm (No. 8)
Inequivalent atoms, fractional coordinates:
1 K 0.000 0.000 0.000 (multiplicity 2)
2 As 0.170 0.000 0.651 (multiplicity 2)
3 As 0.446 0.000 0.364 (multiplicity 2)
4 Ru 0.286 0.500 0.460 (multiplicity 2)

- distance to the lowest polymorph of the same formula (meV/atom) = 0.0
- ΔE_f (meV/atom) = -205

Material: TbMgZn5Cu2
Method: DFT, GGA-PBE
State: relaxed

a = 4.616 Å, b = 4.616 Å, c = 7.358 Å
α = 90.00°, β = 90.00°, γ = 90.00°
Space group P4/mmm (No. 123)
Inequivalent atoms, fractional coordinates:
1 Tb 0.000 0.000 0.000 (multiplicity 1)
2 Mg 0.000 0.000 0.500 (multiplicity 1)
3 Zn 0.000 0.500 0.253 (multiplicity 4)
4 Zn 0.500 0.500 0.000 (multiplicity 1)
5 Cu 0.500 0.500 0.340 (multiplicity 2)

- ΔE_f (meV/atom) = -56

Material: NaAc2Au
Method: DFT, GGA-PBE
State: relaxed

a = 8.071 Å, b = 8.071 Å, c = 8.071 Å
α = 90.00°, β = 90.00°, γ = 90.00°
Space group Fm-3m (No. 225)
Inequivalent atoms, fractional coordinates:
1 Na 0.000 0.000 0.000 (multiplicity 4)
2 Ac 0.250 0.250 0.250 (multiplicity 8)
3 Au 0.000 0.000 0.500 (multiplicity 4)

- distance to the lowest polymorph of the same formula (meV/atom) = 111.7
- ΔE_f (meV/atom) = -184

Material: Th8CuSn2
Method: DFT, GGA-PBE
State: relaxed

a = 18.443 Å, b = 4.649 Å, c = 7.844 Å
α = 90.00°, β = 93.78°, γ = 90.00°
Space group C2/m (No. 12)
Inequivalent atoms, fractional coordinates:
1 Th 0.010 0.000 0.234 (multiplicity 4)
2 Th 0.095 0.500 0.517 (multiplicity 4)
3 Th 0.157 0.500 0.043 (multiplicity 4)
4 Th 0.212 0.000 0.351 (multiplicity 4)
5 Cu 0.000 0.500 0.000 (multiplicity 2)
6 Sn 0.175 0.000 0.766 (multiplicity 4)

- ΔE_f (meV/atom) = -121

Material: Co2ReTc
Method: DFT, GGA-PBE
State: relaxed

a = 3.675 Å, b = 3.675 Å, c = 7.447 Å
α = 90.00°, β = 90.00°, γ = 90.00°
Space group I4/mmm (No. 139)
Inequivalent atoms, fractional coordinates:
1 Co 0.000 0.500 0.250 (multiplicity 4)
2 Re 0.000 0.000 0.000 (multiplicity 2)
3 Tc 0.000 0.000 0.500 (multiplicity 2)

- distance to the lowest polymorph of the same formula (meV/atom) = 119.4
- ΔE_f (meV/atom) = 59

Material: TiNi2Br
Method: DFT, GGA-PBE
State: relaxed

a = 6.897 Å, b = 6.897 Å, c = 5.090 Å
α = 90.00°, β = 90.00°, γ = 90.00°
Space group I-42d (No. 122)
Inequivalent atoms, fractional coordinates:
1 Ti 0.000 0.000 0.000 (multiplicity 4)
2 Ni 0.243 0.250 0.625 (multiplicity 8)
3 Br 0.000 0.000 0.500 (multiplicity 4)

- distance to the lowest polymorph of the same formula (meV/atom) = 0.0
- uncorrected formation energy (eV per formula unit) = 0.830

Material: SrAlAu6
Method: DFT, GGA-PBE
State: relaxed

a = 7.0049 Å, b = 7.0049 Å, c = 12.7201 Å
α = 90.00°, β = 90.00°, γ = 120.00°
Space group R-3m (No. 166, hexagonal axes)
Inequivalent atoms, fractional coordinates:
1 Sr 0.0000 0.0000 0.0000 (multiplicity 3)
2 Al 0.0000 0.0000 0.5000 (multiplicity 3)
3 Au 0.0682 0.5341 0.8949 (multiplicity 18)

- distance to the lowest polymorph of the same formula (meV/atom) = 4.5
- ΔE_f (meV/atom) = -381

Material: Pa4GePS2
Method: DFT, GGA-PBE
State: relaxed

a = 6.726 Å, b = 4.031 Å, c = 6.984 Å
α = 90.00°, β = 110.23°, γ = 90.00°
Space group P2/m (No. 10)
Inequivalent atoms, fractional coordinates:
1 Pa 0.238 0.000 0.239 (multiplicity 2)
2 Pa 0.244 0.500 0.754 (multiplicity 2)
3 Ge 0.500 0.500 0.500 (multiplicity 1)
4 P 0.500 0.000 0.000 (multiplicity 1)
5 S 0.000 0.000 0.500 (multiplicity 1)
6 S 0.000 0.500 0.000 (multiplicity 1)

- uncorrected formation energy (eV per formula unit) = -10.060

Material: Dy4Tm5Th4
Method: DFT, GGA-PBE
State: relaxed

a = 12.742 Å, b = 12.742 Å, c = 5.015 Å
α = 90.00°, β = 90.00°, γ = 90.00°
Space group I4/m (No. 87)
Inequivalent atoms, fractional coordinates:
1 Dy 0.153 0.768 0.000 (multiplicity 8)
2 Tm 0.000 0.000 0.000 (multiplicity 2)
3 Tm 0.039 0.193 0.500 (multiplicity 8)
4 Th 0.077 0.386 0.000 (multiplicity 8)

- ΔE_f (meV/atom) = 31

| no. | Fermi-level density of states (states/eV/cell) |
| --- | --- |
| 1 | 8.89 |
| 2 | 1.81 |
| 3 | 3.93 |
| 4 | 5.62 |
| 5 | 5.25 |
| 6 | 2.39 |
| 7 | 5.70 |
| 8 | 25.18 |
| 9 | 2.05 |
| 10 | 4.77 |
| 11 | 3.15 |
| 12 | 1.73 |
| 13 | 2.73 |
| 14 | 16.94 |
| 15 | 28.54 |
| 16 | 11.02 |
| 17 | 21.19 |
| 18 | 5.46 |
| 19 | 10.96 |
| 20 | 34.66 |